# PBE Tl2SeBr, optimized geometry
data_Tl2SeBr
_cell_length_a 8.012
_cell_length_b 8.012
_cell_length_c 9.341
_cell_angle_alpha 90.00
_cell_angle_beta 90.00
_cell_angle_gamma 90.00
_symmetry_space_group_name_H-M 'I -4 2 d'
_symmetry_Int_Tables_number 122
_symmetry_space_group_name_Hall 'I -4 2bw'
loop_
_atom_site_label
_atom_site_fract_x
_atom_site_fract_y
_atom_site_fract_z
Tl1 0.225 0.250 0.125
Se1 0.000 0.000 0.000
Br1 0.000 0.000 0.500
# **DOS at the Fermi energy**: 11.9 states/eV per cell
# **Crystal system**: tetragonal
# **Raw formation energy**: -389 meV per atom
# **Polymorph energy (0 for the lowest one)**: 0.39 eV/f.u.
# **Spin magnetization**: 0.00 μB/f.u.


# PBE Sm3Dy2Y6Sc, optimized geometry
data_Sm3Dy2Y6Sc
_cell_length_a 6.164
_cell_length_b 10.671
_cell_length_c 11.770
_cell_angle_alpha 90.00
_cell_angle_beta 100.02
_cell_angle_gamma 90.00
_symmetry_space_group_name_H-M 'C 1 2/m 1'
_symmetry_Int_Tables_number 12
_symmetry_space_group_name_Hall '-C 2y'
loop_
_atom_site_label
_atom_site_fract_x
_atom_site_fract_y
_atom_site_fract_z
Sm1 0.000 0.000 0.000
Sm2 0.000 0.333 0.000
Dy1 0.000 0.166 0.500
Y1 0.247 0.335 0.745
Y2 0.250 0.000 0.746
Sc1 0.000 0.500 0.500
# **DOS at the Fermi energy**: 35.2 states/eV per cell
# **Crystal system**: monoclinic
# **Energy relative to the elements**: 0.0303 eV per atom
# **Spin magnetization**: 0.00 μB/f.u.


# PBE MgSb2Pd2, optimized geometry
data_MgSb2Pd2
_cell_length_a 7.228
_cell_length_b 7.228
_cell_length_c 3.931
_cell_angle_alpha 90.00
_cell_angle_beta 90.00
_cell_angle_gamma 90.00
_symmetry_space_group_name_H-M 'P 4/m b m'
_symmetry_Int_Tables_number 127
_symmetry_space_group_name_Hall '-P 4 2ab'
loop_
_atom_site_label
_atom_site_fract_x
_atom_site_fract_y
_atom_site_fract_z
Mg1 0.000 0.000 0.000
Sb1 0.166 0.334 0.500
Pd1 0.139 0.639 0.000
# **DOS at the Fermi energy**: 5.6 states/eV per cell
# **Crystal system**: tetragonal
# **Raw formation energy**: -349 meV per atom
# **Polymorph energy (0 for the lowest one)**: 0.61 eV/f.u.
# **Spin magnetization**: 0.00 μB/f.u.


# PBE ZnPS2, optimized geometry
data_ZnPS2
_cell_length_a 3.2527
_cell_length_b 3.2527
_cell_length_c 26.4536
_cell_angle_alpha 90.00
_cell_angle_beta 90.00
_cell_angle_gamma 120.00
_symmetry_space_group_name_H-M 'R -3 m'
_symmetry_Int_Tables_number 166
_symmetry_space_group_name_Hall '-R 3 2"'
loop_
_atom_site_label
_atom_site_fract_x
_atom_site_fract_y
_atom_site_fract_z
Zn1 0.0000 0.0000 0.0000
P1 0.0000 0.0000 0.5000
S1 0.0000 0.0000 0.1139
# **DOS at the Fermi energy**: 5.3 states/eV per cell
# **Crystal system**: trigonal
# **Raw formation energy**: 177 meV per atom
# **Polymorph energy (0 for the lowest one)**: 0.48 eV/f.u.
# **Spin magnetization**: 0.00 μB/f.u.


# PBE TbErPb2, optimized geometry
data_TbErPb2
_cell_length_a 4.7677
_cell_length_b 4.7677
_cell_length_c 19.7419
_cell_angle_alpha 90.00
_cell_angle_beta 90.00
_cell_angle_gamma 120.00
_symmetry_space_group_name_H-M 'R 3 m'
_symmetry_Int_Tables_number 160
_symmetry_space_group_name_Hall 'R 3 -2"'
loop_
_atom_site_label
_atom_site_fract_x
_atom_site_fract_y
_atom_site_fract_z
Tb1 0.0000 0.0000 0.0000
Er1 0.0000 0.0000 0.8216
Pb1 0.0000 0.0000 0.4139
Pb2 0.0000 0.0000 0.5779
# **DOS at the Fermi energy**: 6.0 states/eV per cell
# **Crystal system**: trigonal
# **Energy relative to the elements**: -0.3229 eV per atom
# **Spin magnetization**: 0.00 μB/f.u.


# PBE Hf4SiC, optimized geometry
data_Hf4SiC
_cell_length_a 13.274
_cell_length_b 5.322
_cell_length_c 6.371
_cell_angle_alpha 90.00
_cell_angle_beta 105.30
_cell_angle_gamma 90.00
_symmetry_space_group_name_H-M 'C 1 2/c 1'
_symmetry_Int_Tables_number 15
_symmetry_space_group_name_Hall '-C 2yc'
loop_
_atom_site_label
_atom_site_fract_x
_atom_site_fract_y
_atom_site_fract_z
Hf1 0.096 0.073 0.442
Hf2 0.186 0.433 0.166
Si1 0.000 0.388 0.750
C1 0.250 0.250 0.500
# **DOS at the Fermi energy**: 18.5 states/eV per cell
# **Crystal system**: monoclinic
# **Raw formation energy**: -411 meV per atom
# **Spin magnetization**: 0.00 μB/f.u.


# PBE Pr5SmDyY2, optimized geometry
data_Pr5SmDyY2
_cell_length_a 5.723
_cell_length_b 20.651
_cell_length_c 10.784
_cell_angle_alpha 90.00
_cell_angle_beta 90.00
_cell_angle_gamma 90.00
_symmetry_space_group_name_H-M 'C m c 21'
_symmetry_Int_Tables_number 36
_symmetry_space_group_name_Hall 'C 2c -2'
loop_
_atom_site_label
_atom_site_fract_x
_atom_site_fract_y
_atom_site_fract_z
Pr1 0.000 0.017 0.000
Pr2 0.000 0.281 0.290
Pr3 0.000 0.295 0.682
Pr4 0.000 0.390 0.004
Pr5 0.000 0.481 0.724
Sm1 0.000 0.201 0.989
Dy1 0.000 0.409 0.441
Y1 0.000 0.111 0.717
Y2 0.000 0.117 0.295
# **DOS at the Fermi energy**: 57.7 states/eV per cell
# **Crystal system**: orthorhombic
# **Energy relative to the elements**: 0.1373 eV per atom
# **Spin magnetization**: 0.00 μB/f.u.


# PBE SrIn4Ag6, optimized geometry
data_SrIn4Ag6
_cell_length_a 7.264
_cell_length_b 7.264
_cell_length_c 10.546
_cell_angle_alpha 90.00
_cell_angle_beta 90.00
_cell_angle_gamma 90.00
_symmetry_space_group_name_H-M 'I -4 2 m'
_symmetry_Int_Tables_number 121
_symmetry_space_group_name_Hall 'I -4 2'
loop_
_atom_site_label
_atom_site_fract_x
_atom_site_fract_y
_atom_site_fract_z
Sr1 0.000 0.000 0.000
In1 0.165 0.165 0.607
Ag1 0.000 0.500 0.000
Ag2 0.220 0.220 0.339
# **DOS at the Fermi energy**: 8.8 states/eV per cell
# **Crystal system**: tetragonal
# **Polymorph energy (0 for the lowest one)**: 1.63 eV/f.u.
# **Energy relative to the elements**: 0.0020 eV per atom
# **Spin magnetization**: 0.00 μB/f.u.


# PBE AcSm10Dy6, optimized geometry
data_AcSm10Dy6
_cell_length_a 9.8449
_cell_length_b 9.8449
_cell_length_c 6.9236
_cell_angle_alpha 90.00
_cell_angle_beta 90.00
_cell_angle_gamma 120.00
_symmetry_space_group_name_H-M 'P -3 1 m'
_symmetry_Int_Tables_number 162
_symmetry_space_group_name_Hall '-P 3 2'
loop_
_atom_site_label
_atom_site_fract_x
_atom_site_fract_y
_atom_site_fract_z
Ac1 0.0000 0.0000 0.0000
Sm1 0.0000 0.2818 0.3252
Sm2 0.3333 0.6667 0.0000
Sm3 0.3333 0.6667 0.5000
Dy1 0.0000 0.3734 0.8093
# **DOS at the Fermi energy**: 26.3 states/eV per cell
# **Crystal system**: trigonal
# **Energy relative to the elements**: 0.1367 eV per atom
# **Spin magnetization**: 0.00 μB/f.u.


# PBE BaCa4Pd, optimized geometry
data_BaCa4Pd
_cell_length_a 6.203
_cell_length_b 7.487
_cell_length_c 10.713
_cell_angle_alpha 90.00
_cell_angle_beta 100.08
_cell_angle_gamma 90.00
_symmetry_space_group_name_H-M 'P 1 21/m 1'
_symmetry_Int_Tables_number 11
_symmetry_space_group_name_Hall '-P 2yb'
loop_
_atom_site_label
_atom_site_fract_x
_atom_site_fract_y
_atom_site_fract_z
Ba1 0.226 0.250 0.453
Ca1 0.129 0.250 0.060
Ca2 0.190 0.750 0.270
Ca3 0.351 0.507 0.815
Pd1 0.357 0.750 0.030
# **DOS at the Fermi energy**: 9.8 states/eV per cell
# **Crystal system**: monoclinic
# **Energy relative to the elements**: -0.2379 eV per atom
# **Spin magnetization**: 0.00 μB/f.u.


# PBE CaCo2Br, optimized geometry
data_CaCo2Br
_cell_length_a 6.490
_cell_length_b 6.490
_cell_length_c 6.490
_cell_angle_alpha 90.00
_cell_angle_beta 90.00
_cell_angle_gamma 90.00
_symmetry_space_group_name_H-M 'F m -3 m'
_symmetry_Int_Tables_number 225
_symmetry_space_group_name_Hall '-F 4 2 3'
loop_
_atom_site_label
_atom_site_fract_x
_atom_site_fract_y
_atom_site_fract_z
Ca1 0.000 0.000 0.000
Co1 0.250 0.250 0.250
Br1 0.000 0.000 0.500
# **DOS at the Fermi energy**: 9.7 states/eV per cell
# **Crystal system**: cubic
# **Raw formation energy**: 700 meV per atom
# **Polymorph energy (0 for the lowest one)**: 3.49 eV/f.u.
# **Spin magnetization**: 2.09 μB/f.u.


# PBE NaCd5Sn2, optimized geometry
data_NaCd5Sn2
_cell_length_a 4.487
_cell_length_b 8.796
_cell_length_c 10.817
_cell_angle_alpha 90.00
_cell_angle_beta 90.00
_cell_angle_gamma 90.00
_symmetry_space_group_name_H-M 'I m m m'
_symmetry_Int_Tables_number 71
_symmetry_space_group_name_Hall '-I 2 2'
loop_
_atom_site_label
_atom_site_fract_x
_atom_site_fract_y
_atom_site_fract_z
Na1 0.000 0.000 0.000
Cd1 0.000 0.189 0.364
Cd2 0.000 0.500 0.000
Sn1 0.000 0.500 0.268
# **DOS at the Fermi energy**: 5.2 states/eV per cell
# **Crystal system**: orthorhombic
# **Energy relative to the elements**: -0.0247 eV per atom
# **Spin magnetization**: 0.00 μB/f.u.


# PBE CsLiH2Os, optimized geometry
data_CsLiH2Os
_cell_length_a 4.243
_cell_length_b 4.243
_cell_length_c 5.509
_cell_angle_alpha 90.00
_cell_angle_beta 90.00
_cell_angle_gamma 90.00
_symmetry_space_group_name_H-M 'P 4/m m m'
_symmetry_Int_Tables_number 123
_symmetry_space_group_name_Hall '-P 4 2'
loop_
_atom_site_label
_atom_site_fract_x
_atom_site_fract_y
_atom_site_fract_z
Cs1 0.000 0.000 0.000
Li1 0.000 0.000 0.500
H1 0.000 0.500 0.500
Os1 0.500 0.500 0.000
# **DOS at the Fermi energy**: 4.6 states/eV per cell
# **Crystal system**: tetragonal
# **Electronic total energy**: -2.442 eV/atom
# **Spin magnetization**: 3.33 μB/f.u.


# PBE InIr2Se, optimized geometry
data_InIr2Se
_cell_length_a 2.931
_cell_length_b 4.608
_cell_length_c 5.082
_cell_angle_alpha 90.00
_cell_angle_beta 90.00
_cell_angle_gamma 90.00
_symmetry_space_group_name_H-M 'P m m m'
_symmetry_Int_Tables_number 47
_symmetry_space_group_name_Hall '-P 2 2'
loop_
_atom_site_label
_atom_site_fract_x
_atom_site_fract_y
_atom_site_fract_z
In1 0.000 0.000 0.000
Ir1 0.000 0.500 0.500
Ir2 0.500 0.500 0.000
Se1 0.500 0.000 0.500
# **DOS at the Fermi energy**: 1.9 states/eV per cell
# **Crystal system**: orthorhombic
# **Raw formation energy**: 369 meV per atom
# **Polymorph energy (0 for the lowest one)**: 0.81 eV/f.u.
# **Spin magnetization**: 0.00 μB/f.u.


# PBE In2ReIr, optimized geometry
data_In2ReIr
_cell_length_a 3.044
_cell_length_b 3.530
_cell_length_c 6.486
_cell_angle_alpha 90.00
_cell_angle_beta 90.00
_cell_angle_gamma 90.00
_symmetry_space_group_name_H-M 'P m m m'
_symmetry_Int_Tables_number 47
_symmetry_space_group_name_Hall '-P 2 2'
loop_
_atom_site_label
_atom_site_fract_x
_atom_site_fract_y
_atom_site_fract_z
In1 0.000 0.000 0.243
Re1 0.500 0.500 0.500
Ir1 0.500 0.500 0.000
# **DOS at the Fermi energy**: 3.9 states/eV per cell
# **Crystal system**: orthorhombic
# **Polymorph energy (0 for the lowest one)**: 1.27 eV/f.u.
# **Energy relative to the elements**: 0.4268 eV per atom
# **Spin magnetization**: 0.00 μB/f.u.


# PBE NaTbNdSn, optimized geometry
data_NaTbNdSn
_cell_length_a 7.667
_cell_length_b 7.667
_cell_length_c 7.667
_cell_angle_alpha 90.00
_cell_angle_beta 90.00
_cell_angle_gamma 90.00
_symmetry_space_group_name_H-M 'F -4 3 m'
_symmetry_Int_Tables_number 216
_symmetry_space_group_name_Hall 'F -4 2 3'
loop_
_atom_site_label
_atom_site_fract_x
_atom_site_fract_y
_atom_site_fract_z
Na1 0.000 0.000 0.000
Tb1 0.250 0.250 0.250
Nd1 0.250 0.250 0.750
Sn1 0.000 0.000 0.500
# **DOS at the Fermi energy**: 13.3 states/eV per cell
# **Crystal system**: cubic
# **Energy relative to the elements**: -0.3050 eV per atom
# **Spin magnetization**: 0.00 μB/f.u.


# PBE Ba3Dy3MgTe8, optimized geometry
data_Ba3Dy3MgTe8
_cell_length_a 9.0155
_cell_length_b 9.0155
_cell_length_c 23.8913
_cell_angle_alpha 90.00
_cell_angle_beta 90.00
_cell_angle_gamma 120.00
_symmetry_space_group_name_H-M 'R -3 m'
_symmetry_Int_Tables_number 166
_symmetry_space_group_name_Hall '-R 3 2"'
loop_
_atom_site_label
_atom_site_fract_x
_atom_site_fract_y
_atom_site_fract_z
Ba1 0.0000 0.5000 0.0000
Dy1 0.0000 0.5000 0.5000
Mg1 0.0000 0.0000 0.5000
Te1 0.0000 0.0000 0.2387
Te2 0.0015 0.5008 0.2368
# **DOS at the Fermi energy**: 11.9 states/eV per cell
# **Crystal system**: trigonal
# **Raw formation energy**: -1434 meV per atom
# **Spin magnetization**: 0.00 μB/f.u.


# PBE K3BiP2O8, optimized geometry
data_K3BiP2O8
_cell_length_a 5.7443
_cell_length_b 5.7443
_cell_length_c 8.0124
_cell_angle_alpha 90.00
_cell_angle_beta 90.00
_cell_angle_gamma 120.00
_symmetry_space_group_name_H-M 'P -3 m 1'
_symmetry_Int_Tables_number 164
_symmetry_space_group_name_Hall '-P 3 2"'
loop_
_atom_site_label
_atom_site_fract_x
_atom_site_fract_y
_atom_site_fract_z
K1 0.0000 0.0000 0.0000
K2 0.3333 0.6667 0.7417
Bi1 0.0000 0.0000 0.5000
P1 0.3333 0.6667 0.2501
O1 0.1850 0.3699 0.3178
O2 0.3333 0.6667 0.0606
# **DOS at the Fermi energy**: 0.0 states/eV per cell
# **Crystal system**: trigonal
# **Raw formation energy**: -2101 meV per atom
# **Spin magnetization**: 0.00 μB/f.u.


# PBE Sr5PmSe6, optimized geometry
data_Sr5PmSe6
_cell_length_a 7.614
_cell_length_b 13.182
_cell_length_c 7.617
_cell_angle_alpha 90.00
_cell_angle_beta 109.48
_cell_angle_gamma 90.00
_symmetry_space_group_name_H-M 'C 1 2/m 1'
_symmetry_Int_Tables_number 12
_symmetry_space_group_name_Hall '-C 2y'
loop_
_atom_site_label
_atom_site_fract_x
_atom_site_fract_y
_atom_site_fract_z
Sr1 0.000 0.000 0.000
Sr2 0.000 0.166 0.500
Sr3 0.000 0.331 0.000
Pm1 0.000 0.500 0.500
Se1 0.241 0.500 0.256
Se2 0.243 0.338 0.744
# **DOS at the Fermi energy**: 5.3 states/eV per cell
# **Crystal system**: monoclinic
# **Raw formation energy**: -2005 meV per atom
# **Spin magnetization**: 0.00 μB/f.u.


# PBE Er2UP, optimized geometry
data_Er2UP
_cell_length_a 3.5527
_cell_length_b 3.5527
_cell_length_c 30.5368
_cell_angle_alpha 90.00
_cell_angle_beta 90.00
_cell_angle_gamma 120.00
_symmetry_space_group_name_H-M 'R -3 m'
_symmetry_Int_Tables_number 166
_symmetry_space_group_name_Hall '-R 3 2"'
loop_
_atom_site_label
_atom_site_fract_x
_atom_site_fract_y
_atom_site_fract_z
Er1 0.0000 0.0000 0.1113
U1 0.0000 0.0000 0.0000
P1 0.0000 0.0000 0.5000
# **DOS at the Fermi energy**: 27.6 states/eV per cell
# **Crystal system**: trigonal
# **Energy relative to the elements**: -0.0986 eV per atom
# **Spin magnetization**: 3.56 μB/f.u.